Compound: PaNiRh2
Source: Alexandria
Functional: PBE
Structure: relaxed

Lattice parameters (Å, degrees): 4.0470 4.0470 3.9182 90.00 90.00 90.00
Sites, in units of the cell vectors:
Pa 0.0000 0.0000 0.0000
Ni 0.5000 0.5000 0.0000
Rh 0.0000 0.5000 0.5000
Rh 0.5000 0.0000 0.5000

Summary:
Energy above the most stable polymorph in this dataset in kJ/mol of formula units: 0.0
ΔE_f in meV/atom: -807.2
Energy in eV per atom: -8.302
Symmetry: No. 123